# 1
Compound: MgIr2W
Source: the Alexandria database
Functional: GGA-PBEsol
Structure: relaxed

Computed properties:
ΔE_f: -4.3 kJ per mole of atoms

Geometry as CIF:
```
data_MgIr2W
_chemical_formula_sum 'Mg1 Ir2 W1'
_space_group_name_H-M_alt 'P 1'
_space_group_IT_number 1
_cell_length_a 4.935
_cell_length_b 4.935
_cell_length_c 4.935
_cell_angle_alpha 135.04
_cell_angle_beta 135.04
_cell_angle_gamma 65.47
loop_
_space_group_symop_operation_xyz
'x,y,z'
loop_
_atom_site_label
_atom_site_fract_x
_atom_site_fract_y
_atom_site_fract_z
Mg1 0.000 0.000 0.000
Ir1 0.500 0.500 0.000
Ir2 0.750 0.250 0.500
W1 0.250 0.750 0.500
```

# 2
Compound: Y4MgIr
Source: the Alexandria database
Functional: GGA-PBEsol
Structure: relaxed

Computed properties:
ΔE_f: -39.9 kJ per mole of atoms

Geometry as CIF:
```
data_Y4MgIr
_chemical_formula_sum 'Y16 Mg4 Ir4'
_space_group_name_H-M_alt 'P 1'
_space_group_IT_number 1
_cell_length_a 9.609
_cell_length_b 9.609
_cell_length_c 9.609
_cell_angle_alpha 60.00
_cell_angle_beta 60.00
_cell_angle_gamma 60.00
loop_
_space_group_symop_operation_xyz
'x,y,z'
loop_
_atom_site_label
_atom_site_fract_x
_atom_site_fract_y
_atom_site_fract_z
Y1 0.039 0.654 0.654
Y2 0.062 0.062 0.438
Y3 0.062 0.438 0.062
Y4 0.062 0.438 0.438
Y5 0.188 0.188 0.812
Y6 0.188 0.812 0.188
Y7 0.188 0.812 0.812
Y8 0.438 0.062 0.062
Y9 0.438 0.062 0.438
Y10 0.438 0.438 0.062
Y11 0.654 0.039 0.654
Y12 0.654 0.654 0.039
Y13 0.654 0.654 0.654
Y14 0.812 0.188 0.188
Y15 0.812 0.188 0.812
Y16 0.812 0.812 0.188
Mg1 0.420 0.420 0.420
Mg2 0.420 0.420 0.739
Mg3 0.420 0.739 0.420
Mg4 0.739 0.420 0.420
Ir1 0.424 0.859 0.859
Ir2 0.859 0.424 0.859
Ir3 0.859 0.859 0.424
Ir4 0.859 0.859 0.859
```

# 3
Compound: YMg2Ir
Source: the Alexandria database
Functional: GGA-PBEsol
Structure: relaxed

Computed properties:
ΔE_f: -28.0 kJ per mole of atoms

Geometry as CIF:
```
data_YMg2Ir
_chemical_formula_sum 'Y1 Mg2 Ir1'
_space_group_name_H-M_alt 'P 1'
_space_group_IT_number 1
_cell_length_a 4.028
_cell_length_b 4.028
_cell_length_c 4.834
_cell_angle_alpha 90.00
_cell_angle_beta 90.00
_cell_angle_gamma 90.00
loop_
_space_group_symop_operation_xyz
'x,y,z'
loop_
_atom_site_label
_atom_site_fract_x
_atom_site_fract_y
_atom_site_fract_z
Y1 0.000 0.000 0.000
Mg1 0.000 0.500 0.500
Mg2 0.500 0.000 0.500
Ir1 0.500 0.500 0.000
```

# 4
Compound: YMg2Ir
Source: the Alexandria database
Functional: GGA-PBEsol
Structure: relaxed

Computed properties:
ΔE_f: -29.2 kJ per mole of atoms

Geometry as CIF:
```
data_YMg2Ir
_chemical_formula_sum 'Y1 Mg2 Ir1'
_space_group_name_H-M_alt 'P 1'
_space_group_IT_number 1
_cell_length_a 4.780
_cell_length_b 4.780
_cell_length_c 4.780
_cell_angle_alpha 60.00
_cell_angle_beta 60.00
_cell_angle_gamma 60.00
loop_
_space_group_symop_operation_xyz
'x,y,z'
loop_
_atom_site_label
_atom_site_fract_x
_atom_site_fract_y
_atom_site_fract_z
Y1 0.000 0.000 0.000
Mg1 0.250 0.250 0.250
Mg2 0.500 0.500 0.500
Ir1 0.750 0.750 0.750
```

# 5
Compound: YMgIr2
Source: the Alexandria database
Functional: GGA-PBEsol
Structure: relaxed

Computed properties:
ΔE_f: -21.4 kJ per mole of atoms

Geometry as CIF:
```
data_YMgIr2
_chemical_formula_sum 'Y1 Mg1 Ir2'
_space_group_name_H-M_alt 'P 1'
_space_group_IT_number 1
_cell_length_a 4.720
_cell_length_b 4.720
_cell_length_c 5.238
_cell_angle_alpha 103.04
_cell_angle_beta 103.04
_cell_angle_gamma 38.25
loop_
_space_group_symop_operation_xyz
'x,y,z'
loop_
_atom_site_label
_atom_site_fract_x
_atom_site_fract_y
_atom_site_fract_z
Y1 0.000 0.000 0.000
Mg1 0.500 0.500 0.500
Ir1 0.245 0.245 0.709
Ir2 0.755 0.755 0.291
```

# 6
Compound: Mg3ZnIr
Source: the Alexandria database
Functional: GGA-PBEsol
Structure: relaxed

Computed properties:
ΔE_f: 23.9 kJ per mole of atoms

Geometry as CIF:
```
data_Mg3ZnIr
_chemical_formula_sum 'Mg3 Zn1 Ir1'
_space_group_name_H-M_alt 'P 1'
_space_group_IT_number 1
_cell_length_a 4.929
_cell_length_b 4.929
_cell_length_c 4.929
_cell_angle_alpha 90.00
_cell_angle_beta 90.00
_cell_angle_gamma 90.00
loop_
_space_group_symop_operation_xyz
'x,y,z'
loop_
_atom_site_label
_atom_site_fract_x
_atom_site_fract_y
_atom_site_fract_z
Mg1 0.000 0.000 0.500
Mg2 0.000 0.500 0.000
Mg3 0.500 0.000 0.000
Zn1 0.500 0.500 0.500
Ir1 0.000 0.000 0.000
```

# 7
Compound: MgZn3Ir
Source: the Alexandria database
Functional: GGA-PBEsol
Structure: relaxed

Computed properties:
ΔE_f: 136.7 kJ per mole of atoms

Geometry as CIF:
```
data_MgZn3Ir
_chemical_formula_sum 'Mg1 Zn3 Ir1'
_space_group_name_H-M_alt 'P 1'
_space_group_IT_number 1
_cell_length_a 4.500
_cell_length_b 4.500
_cell_length_c 4.500
_cell_angle_alpha 90.00
_cell_angle_beta 90.00
_cell_angle_gamma 90.00
loop_
_space_group_symop_operation_xyz
'x,y,z'
loop_
_atom_site_label
_atom_site_fract_x
_atom_site_fract_y
_atom_site_fract_z
Mg1 0.000 0.000 0.000
Zn1 0.000 0.000 0.500
Zn2 0.000 0.500 0.000
Zn3 0.500 0.000 0.000
Ir1 0.500 0.500 0.500
```

# 8
Compound: MgZn2Ir
Source: the Alexandria database
Functional: GGA-PBEsol
Structure: relaxed

Computed properties:
ΔE_f: -27.8 kJ per mole of atoms

Geometry as CIF:
```
data_MgZn2Ir
_chemical_formula_sum 'Mg1 Zn2 Ir1'
_space_group_name_H-M_alt 'P 1'
_space_group_IT_number 1
_cell_length_a 4.765
_cell_length_b 4.765
_cell_length_c 4.765
_cell_angle_alpha 133.01
_cell_angle_beta 133.01
_cell_angle_gamma 68.63
loop_
_space_group_symop_operation_xyz
'x,y,z'
loop_
_atom_site_label
_atom_site_fract_x
_atom_site_fract_y
_atom_site_fract_z
Mg1 0.000 0.000 0.000
Zn1 0.250 0.750 0.500
Zn2 0.750 0.250 0.500
Ir1 0.500 0.500 0.000
```

# 9
Compound: MgZnIr
Source: the Alexandria database
Functional: GGA-PBEsol
Structure: relaxed

Computed properties:
ΔE_f: -22.7 kJ per mole of atoms

Geometry as CIF:
```
data_MgZnIr
_chemical_formula_sum 'Mg1 Zn1 Ir1'
_space_group_name_H-M_alt 'P 1'
_space_group_IT_number 1
_cell_length_a 4.748
_cell_length_b 4.748
_cell_length_c 4.748
_cell_angle_alpha 143.83
_cell_angle_beta 135.05
_cell_angle_gamma 59.00
loop_
_space_group_symop_operation_xyz
'x,y,z'
loop_
_atom_site_label
_atom_site_fract_x
_atom_site_fract_y
_atom_site_fract_z
Mg1 0.000 0.000 0.000
Zn1 0.317 0.317 0.000
Ir1 0.669 0.669 0.000
```

# 10
Compound: MgZnIr2
Source: the Alexandria database
Functional: GGA-PBEsol
Structure: relaxed

Computed properties:
ΔE_f: -15.6 kJ per mole of atoms

Geometry as CIF:
```
data_MgZnIr2
_chemical_formula_sum 'Mg1 Zn1 Ir2'
_space_group_name_H-M_alt 'P 1'
_space_group_IT_number 1
_cell_length_a 2.752
_cell_length_b 4.119
_cell_length_c 5.287
_cell_angle_alpha 90.00
_cell_angle_beta 103.93
_cell_angle_gamma 90.00
loop_
_space_group_symop_operation_xyz
'x,y,z'
loop_
_atom_site_label
_atom_site_fract_x
_atom_site_fract_y
_atom_site_fract_z
Mg1 0.000 0.000 0.000
Zn1 0.000 0.000 0.500
Ir1 0.378 0.500 0.734
Ir2 0.622 0.500 0.266
```

# 11
Compound: MgZnIr2
Source: the Alexandria database
Functional: GGA-PBEsol
Structure: relaxed

Computed properties:
ΔE_f: -8.6 kJ per mole of atoms

Geometry as CIF:
```
data_MgZnIr2
_chemical_formula_sum 'Mg1 Zn1 Ir2'
_space_group_name_H-M_alt 'P 1'
_space_group_IT_number 1
_cell_length_a 2.743
_cell_length_b 2.743
_cell_length_c 8.537
_cell_angle_alpha 90.00
_cell_angle_beta 90.00
_cell_angle_gamma 115.80
loop_
_space_group_symop_operation_xyz
'x,y,z'
loop_
_atom_site_label
_atom_site_fract_x
_atom_site_fract_y
_atom_site_fract_z
Mg1 0.000 0.000 0.000
Zn1 0.000 0.000 0.500
Ir1 0.500 0.500 0.255
Ir2 0.500 0.500 0.745
```

# 12
Compound: MgZnIr
Source: the Alexandria database
Functional: GGA-PBEsol
Structure: relaxed

Computed properties:
ΔE_f: -24.9 kJ per mole of atoms

Geometry as CIF:
```
data_MgZnIr
_chemical_formula_sum 'Mg1 Zn1 Ir1'
_space_group_name_H-M_alt 'P 1'
_space_group_IT_number 1
_cell_length_a 4.998
_cell_length_b 4.998
_cell_length_c 4.998
_cell_angle_alpha 143.35
_cell_angle_beta 143.35
_cell_angle_gamma 52.81
loop_
_space_group_symop_operation_xyz
'x,y,z'
loop_
_atom_site_label
_atom_site_fract_x
_atom_site_fract_y
_atom_site_fract_z
Mg1 0.000 0.000 0.000
Zn1 0.685 0.685 0.000
Ir1 0.330 0.330 0.000
```

# 13
Compound: MgZnIr
Source: the Alexandria database
Functional: GGA-PBEsol
Structure: relaxed

Computed properties:
ΔE_f: -20.1 kJ per mole of atoms

Geometry as CIF:
```
data_MgZnIr
_chemical_formula_sum 'Mg1 Zn1 Ir1'
_space_group_name_H-M_alt 'P 1'
_space_group_IT_number 1
_cell_length_a 4.293
_cell_length_b 4.293
_cell_length_c 2.873
_cell_angle_alpha 90.00
_cell_angle_beta 90.00
_cell_angle_gamma 120.00
loop_
_space_group_symop_operation_xyz
'x,y,z'
loop_
_atom_site_label
_atom_site_fract_x
_atom_site_fract_y
_atom_site_fract_z
Mg1 0.000 0.000 0.000
Zn1 0.333 0.667 0.500
Ir1 0.667 0.333 0.500
```

# 14
Compound: MgZn2Ir
Source: the Alexandria database
Functional: GGA-PBEsol
Structure: relaxed

Computed properties:
ΔE_f: -21.4 kJ per mole of atoms

Geometry as CIF:
```
data_MgZn2Ir
_chemical_formula_sum 'Mg1 Zn2 Ir1'
_space_group_name_H-M_alt 'P 1'
_space_group_IT_number 1
_cell_length_a 3.855
_cell_length_b 3.855
_cell_length_c 3.849
_cell_angle_alpha 90.00
_cell_angle_beta 90.00
_cell_angle_gamma 90.00
loop_
_space_group_symop_operation_xyz
'x,y,z'
loop_
_atom_site_label
_atom_site_fract_x
_atom_site_fract_y
_atom_site_fract_z
Mg1 0.000 0.000 0.000
Zn1 0.000 0.500 0.500
Zn2 0.500 0.000 0.500
Ir1 0.500 0.500 0.000
```

# 15
Compound: MgZn2Ir
Source: the Alexandria database
Functional: GGA-PBEsol
Structure: relaxed

Computed properties:
ΔE_f: -22.7 kJ per mole of atoms

Geometry as CIF:
```
data_MgZn2Ir
_chemical_formula_sum 'Mg1 Zn2 Ir1'
_space_group_name_H-M_alt 'P 1'
_space_group_IT_number 1
_cell_length_a 5.028
_cell_length_b 5.028
_cell_length_c 5.028
_cell_angle_alpha 143.14
_cell_angle_beta 130.59
_cell_angle_gamma 63.21
loop_
_space_group_symop_operation_xyz
'x,y,z'
loop_
_atom_site_label
_atom_site_fract_x
_atom_site_fract_y
_atom_site_fract_z
Mg1 0.000 0.000 0.000
Zn1 0.264 0.764 0.500
Zn2 0.500 0.500 0.000
Ir1 0.741 0.241 0.500
```

Number 1: DFT total energy -35.4 eV/cell. Number 2: DFT total energy -165.2 eV/cell. Number 3: DFT total energy -21.2 eV/cell. Number 4: DFT total energy -21.3 eV/cell. Number 5: DFT total energy -29.1 eV/cell. Number 6: DFT total energy -15.3 eV/cell. Number 7: DFT total energy -9.2 eV/cell. Number 8: DFT total energy -15.9 eV/cell. Number 9: DFT total energy -13.8 eV/cell. Number 10: DFT total energy -23.6 eV/cell. Number 11: DFT total energy -23.3 eV/cell. Number 12: DFT total energy -13.9 eV/cell. Number 13: DFT total energy -13.7 eV/cell. Number 14: DFT total energy -15.6 eV/cell. Number 15: DFT total energy -15.6 eV/cell.